# 1
Entry from the Alexandria database: crystalline Dy5Y3Ru2 at its relaxed geometry (PBE).

abc: 10.040 14.828 8.013
angles: 90.00 90.00 90.00
Space group Ibam (No. 72)
Asymmetric unit:
Dy 0.000 0.000 0.250 (multiplicity 4)
Dy 0.000 0.248 0.250 (multiplicity 8)
Dy 0.233 0.123 0.000 (multiplicity 8)
Y 0.000 0.500 0.250 (multiplicity 4)
Y 0.235 0.126 0.500 (multiplicity 8)
Ru 0.004 0.368 0.500 (multiplicity 8)

Summary:
total moment: 0.0 μB per formula unit
formation enthalpy at 0 K: -99 kJ/mol of formula units
density of states at the Fermi level: 33.46 states/eV/cell

***

# 2
Entry from the Alexandria database: crystalline Dy3YRu2 at its relaxed geometry (PBE).

abc: 4.342 8.836 7.510
angles: 90.00 90.00 90.00
Space group Pmc2_1 (No. 26)
Asymmetric unit:
Dy 0.000 0.084 0.000 (multiplicity 2)
Dy 0.000 0.319 0.370 (multiplicity 2)
Dy 0.500 0.180 0.667 (multiplicity 2)
Y 0.500 0.416 0.037 (multiplicity 2)
Ru 0.000 0.362 0.764 (multiplicity 2)
Ru 0.500 0.137 0.273 (multiplicity 2)

Summary:
total moment: 0.0 μB per formula unit
formation enthalpy at 0 K: -194 kJ/mol of formula units
density of states at the Fermi level: 5.50 states/eV/cell

***

# 3
Entry from the Alexandria database: crystalline DyY4Ru2 at its relaxed geometry (PBE).

abc: 7.793 6.359 7.945
angles: 90.00 112.66 90.00
Space group P2_1/m (No. 11)
Asymmetric unit:
Dy 0.027 0.250 0.165 (multiplicity 2)
Y 0.242 0.501 0.586 (multiplicity 4)
Y 0.324 0.750 0.247 (multiplicity 2)
Y 0.378 0.250 0.021 (multiplicity 2)
Ru 0.022 0.250 0.744 (multiplicity 2)
Ru 0.412 0.250 0.374 (multiplicity 2)

Summary:
total moment: 0.0 μB per formula unit
formation enthalpy at 0 K: -151 kJ/mol of formula units
density of states at the Fermi level: 14.02 states/eV/cell

***

# 4
Entry from the Alexandria database: crystalline Dy2YRu at its relaxed geometry (PBE).

abc: 3.5091 3.5091 31.8935
angles: 90.00 90.00 120.00
Space group R-3m (No. 166, hexagonal axes)
Asymmetric unit:
Dy 0.0000 0.0000 0.1073 (multiplicity 6)
Y 0.0000 0.0000 0.0000 (multiplicity 3)
Ru 0.0000 0.0000 0.5000 (multiplicity 3)

Summary:
total moment: 0.5 μB per formula unit
ΔE to the lowest computed polymorph: 422 meV/atom
formation enthalpy at 0 K: 40 kJ/mol of formula units
density of states at the Fermi level: 19.58 states/eV/cell

***

# 5
Entry from the Alexandria database: crystalline DyY3Ru4 at its relaxed geometry (PBE).

abc: 3.408 3.408 13.635
angles: 90.00 90.00 90.00
Space group P4/mmm (No. 123)
Asymmetric unit:
Dy 0.000 0.000 0.000 (multiplicity 1)
Y 0.000 0.000 0.250 (multiplicity 2)
Y 0.000 0.000 0.500 (multiplicity 1)
Ru 0.500 0.500 0.123 (multiplicity 2)
Ru 0.500 0.500 0.375 (multiplicity 2)

Summary:
total moment: 0.0 μB per formula unit
formation enthalpy at 0 K: -223 kJ/mol of formula units
density of states at the Fermi level: 10.55 states/eV/cell

***

# 6
Entry from the Alexandria database: crystalline Dy2ZnRu3 at its relaxed geometry (PBE).

abc: 9.168 5.382 5.312
angles: 90.00 124.65 90.00
Space group C2/m (No. 12)
Asymmetric unit:
Dy 0.123 0.000 0.377 (multiplicity 4)
Zn 0.000 0.500 0.000 (multiplicity 2)
Ru 0.000 0.500 0.500 (multiplicity 2)
Ru 0.250 0.250 0.000 (multiplicity 4)

Summary:
total moment: 1.4 μB per formula unit
formation enthalpy at 0 K: -188 kJ/mol of formula units
density of states at the Fermi level: 12.28 states/eV/cell

***

# 7
Entry from the Alexandria database: crystalline Dy4ZnRu2 at its relaxed geometry (PBE).

abc: 4.8564 4.8564 23.5405
angles: 90.00 90.00 120.00
Space group R-3m (No. 166, hexagonal axes)
Asymmetric unit:
Dy 0.0000 0.0000 0.1204 (multiplicity 6)
Dy 0.0000 0.0000 0.3717 (multiplicity 6)
Zn 0.0000 0.0000 0.5000 (multiplicity 3)
Ru 0.0000 0.0000 0.2471 (multiplicity 6)

Summary:
total moment: 0.0 μB per formula unit
ΔE to the lowest computed polymorph: 0 meV/atom
formation enthalpy at 0 K: -225 kJ/mol of formula units
density of states at the Fermi level: 14.16 states/eV/cell

***

# 8
Entry from the Alexandria database: crystalline DyZnRu at its relaxed geometry (PBE).

abc: 5.287 5.457 7.519
angles: 90.00 90.00 90.00
Space group Imma (No. 74)
Asymmetric unit:
Dy 0.000 0.250 0.132 (multiplicity 4)
Zn 0.250 0.250 0.750 (multiplicity 4)
Ru 0.000 0.000 0.500 (multiplicity 4)

Summary:
total moment: 0.0 μB per formula unit
formation enthalpy at 0 K: -107 kJ/mol of formula units
density of states at the Fermi level: 12.86 states/eV/cell

***

# 9
Entry from the Alexandria database: crystalline DyZn2Ru at its relaxed geometry (PBE).

abc: 3.427 3.427 5.966
angles: 90.00 90.00 90.00
Space group P4/mmm (No. 123)
Asymmetric unit:
Dy 0.000 0.000 0.000 (multiplicity 1)
Zn 0.500 0.500 0.295 (multiplicity 2)
Ru 0.000 0.000 0.500 (multiplicity 1)

Summary:
total moment: 0.0 μB per formula unit
formation enthalpy at 0 K: -67 kJ/mol of formula units
density of states at the Fermi level: 2.68 states/eV/cell

***

# 10
Entry from the Alexandria database: crystalline Dy2Zn6Ru at its relaxed geometry (PBE).

abc: 9.781 5.634 5.827
angles: 90.00 90.17 90.00
Space group C2/m (No. 12)
Asymmetric unit:
Dy 0.167 0.000 0.142 (multiplicity 4)
Zn 0.088 0.236 0.670 (multiplicity 8)
Zn 0.177 0.500 0.331 (multiplicity 4)
Ru 0.000 0.500 0.000 (multiplicity 2)

Summary:
total moment: 0.0 μB per formula unit
formation enthalpy at 0 K: -273 kJ/mol of formula units
density of states at the Fermi level: 9.46 states/eV/cell

***

# 11
Entry from the Alexandria database: crystalline Dy4ZnRu2 at its relaxed geometry (PBE).

abc: 8.700 8.700 8.592
angles: 90.00 90.00 90.00
Space group I-42d (No. 122)
Asymmetric unit:
Dy 0.069 0.679 0.428 (multiplicity 16)
Zn 0.000 0.000 0.500 (multiplicity 4)
Ru 0.140 0.750 0.125 (multiplicity 8)

Summary:
total moment: 0.0 μB per formula unit
ΔE to the lowest computed polymorph: 80 meV/atom
formation enthalpy at 0 K: -170 kJ/mol of formula units
density of states at the Fermi level: 14.96 states/eV/cell

***

# 12
Entry from the Alexandria database: crystalline DyZnRu at its relaxed geometry (PBE).

abc: 4.902 7.880 6.576
angles: 90.00 90.00 90.00
Space group Imma (No. 74)
Asymmetric unit:
Dy 0.000 0.000 0.000 (multiplicity 4)
Zn 0.000 0.250 0.390 (multiplicity 4)
Ru 0.250 0.250 0.750 (multiplicity 4)

Summary:
total moment: 0.0 μB per formula unit
formation enthalpy at 0 K: -46 kJ/mol of formula units
density of states at the Fermi level: 7.69 states/eV/cell